Below is a geometry-optimized CdGe2O5 structure, with properties calculated at the GGA-PBE level.

Lattice parameters (Å, degrees): 5.4603 5.6009 7.0511 105.33 103.09 106.07
Space group P-1 (No. 2)
Unique sites:
Cd: 0.1671 0.3155 0.2620
Ge: 0.1843 0.3195 0.7492
Ge: 0.5000 0.0000 0.0000
Ge: 0.5000 0.0000 0.5000
O: 0.1301 0.7730 0.4432
O: 0.2082 0.1258 0.9099
O: 0.2250 0.6456 0.8996
O: 0.4161 0.0570 0.2477
O: 0.4242 0.3200 0.6149

- E_form (uncorrected) (eV per atom) = -1.500

Below is a geometry-optimized CdGe2O structure, with properties calculated at the GGA-PBE level.

Lattice parameters (Å, degrees): 4.9460 4.9460 13.1320 90.00 90.00 90.00
Space group I-42d (No. 122)
Unique sites:
Cd: 0.0000 0.0000 0.0000
Ge: 0.1213 0.2500 0.6250
O: 0.0000 0.0000 0.5000

- E_form (uncorrected) (eV per atom) = -0.134
- polymorph energy (0 for the lowest one) (meV/atom) = 0

Below is a geometry-optimized CdGeO2 structure, with properties calculated at the GGA-PBE level.

Lattice parameters (Å, degrees): 3.9731 6.0248 6.0385 113.16 108.18 93.20
Space group P1 (No. 1)
Unique sites:
Cd: 0.0000 0.0000 0.0000
Cd: 0.1452 0.6857 0.4429
Ge: 0.6298 0.5315 0.9660
Ge: 0.8351 0.2414 0.6137
O: 0.2651 0.2858 0.8959
O: 0.4047 0.7608 0.8773
O: 0.7054 0.9188 0.5538
O: 0.9955 0.2646 0.3737

- E_form (uncorrected) (eV per atom) = -1.059
- polymorph energy (0 for the lowest one) (meV/atom) = 25

Below is a geometry-optimized Cd3GeO6 structure, with properties calculated at the GGA-PBE level.

Lattice parameters (Å, degrees): 9.6083 5.2206 5.9371 90.00 90.00 90.00
Space group Pmn2_1 (No. 31)
Unique sites:
Cd: 0.0000 0.2468 0.0000
Cd: 0.1947 0.2351 0.5089
Ge: 0.0000 0.6711 0.3561
O: 0.0000 0.0054 0.3460
O: 0.0000 0.4960 0.6149
O: 0.1434 0.5207 0.2056
O: 0.1652 0.0317 0.8344

- E_form (uncorrected) (eV per atom) = -0.926

Below is a geometry-optimized CdGeO2 structure, with properties calculated at the GGA-PBE level.

Lattice parameters (Å, degrees): 5.0368 5.0368 10.5562 90.00 90.00 90.00
Space group I-42d (No. 122)
Unique sites:
Cd: 0.0000 0.0000 0.0000
Ge: 0.0000 0.0000 0.5000
O: 0.2372 0.2500 0.6250

- E_form (uncorrected) (eV per atom) = -0.822
- polymorph energy (0 for the lowest one) (meV/atom) = 261

Below is a geometry-optimized CdGeO2 structure, with properties calculated at the GGA-PBE level.

Lattice parameters (Å, degrees): 5.8670 5.8670 5.8670 90.00 90.00 90.00
Space group Fm-3m (No. 225)
Unique sites:
Cd: 0.0000 0.0000 0.0000
Ge: 0.0000 0.0000 0.5000
O: 0.2500 0.2500 0.2500

- E_form (uncorrected) (eV per atom) = -0.425
- polymorph energy (0 for the lowest one) (meV/atom) = 659